(1)
Computed, not measured: crystalline CaCdIn2Ir at its relaxed geometry at the GGA-PBE level of DFT.

Results
Its formation energy is -0.179 eV per atom.

The structure in CIF format:
```
data_CaCdIn2Ir
_chemical_formula_sum 'Ca1 Cd1 In2 Ir1'
_cell_length_a 5.189
_cell_length_b 5.189
_cell_length_c 5.472
_cell_angle_alpha 90.00
_cell_angle_beta 90.00
_cell_angle_gamma 90.00
_space_group_name_H-M_alt 'P 4/m m m'
_space_group_IT_number 123
_space_group_name_Hall '-P 4 2'
loop_
_atom_site_label
_atom_site_type_symbol
_atom_site_fract_x
_atom_site_fract_y
_atom_site_fract_z
_atom_site_occupancy
Ca1 Ca 0.000 0.000 0.000 1
Cd1 Cd 0.500 0.500 0.000 1
In1 In 0.000 0.500 0.500 1
Ir1 Ir 0.000 0.000 0.500 1
```

***

(2)
Computed, not measured: crystalline CaLaCdIn2 at its relaxed geometry at the GGA-PBE level of DFT.

Results
Its formation energy is 0.618 eV per atom.

The structure in CIF format:
```
data_CaLaCdIn2
_chemical_formula_sum 'Ca1 La1 Cd1 In2'
_cell_length_a 5.728
_cell_length_b 5.728
_cell_length_c 5.866
_cell_angle_alpha 90.00
_cell_angle_beta 90.00
_cell_angle_gamma 90.00
_space_group_name_H-M_alt 'P 4/m m m'
_space_group_IT_number 123
_space_group_name_Hall '-P 4 2'
loop_
_atom_site_label
_atom_site_type_symbol
_atom_site_fract_x
_atom_site_fract_y
_atom_site_fract_z
_atom_site_occupancy
Ca1 Ca 0.000 0.000 0.000 1
La1 La 0.000 0.000 0.500 1
Cd1 Cd 0.500 0.500 0.500 1
In1 In 0.000 0.500 0.000 1
```

***

(3)
Computed, not measured: crystalline Ca2LaCd2In2 at its relaxed geometry at the GGA-PBE level of DFT.

Results
Its formation energy is -0.369 eV per atom.

The structure in CIF format:
```
data_Ca2LaCd2In2
_chemical_formula_sum 'Ca6 La3 Cd6 In6'
_cell_length_a 5.0104
_cell_length_b 5.0104
_cell_length_c 28.7564
_cell_angle_alpha 90.00
_cell_angle_beta 90.00
_cell_angle_gamma 120.00
_space_group_name_H-M_alt 'R -3 m'
_space_group_IT_number 166
_space_group_name_Hall '-R 3 2"'
loop_
_atom_site_label
_atom_site_type_symbol
_atom_site_fract_x
_atom_site_fract_y
_atom_site_fract_z
_atom_site_occupancy
Ca1 Ca 0.0000 0.0000 0.1288 1
La1 La 0.0000 0.0000 0.0000 1
Cd1 Cd 0.0000 0.0000 0.3979 1
In1 In 0.0000 0.0000 0.2582 1
```

***

(4)
Computed, not measured: crystalline CaLa2Cd2In2 at its relaxed geometry at the GGA-PBE level of DFT.

Results
Its formation energy is -0.325 eV per atom.

The structure in CIF format:
```
data_CaLa2Cd2In2
_chemical_formula_sum 'Ca3 La6 Cd6 In6'
_cell_length_a 4.9970
_cell_length_b 4.9970
_cell_length_c 28.9018
_cell_angle_alpha 90.00
_cell_angle_beta 90.00
_cell_angle_gamma 120.00
_space_group_name_H-M_alt 'R -3 m'
_space_group_IT_number 166
_space_group_name_Hall '-R 3 2"'
loop_
_atom_site_label
_atom_site_type_symbol
_atom_site_fract_x
_atom_site_fract_y
_atom_site_fract_z
_atom_site_occupancy
Ca1 Ca 0.0000 0.0000 0.0000 1
La1 La 0.0000 0.0000 0.1287 1
Cd1 Cd 0.0000 0.0000 0.3983 1
In1 In 0.0000 0.0000 0.2598 1
```

***

(5)
Computed, not measured: crystalline CaLaCdInNiS at its relaxed geometry at the GGA-PBE level of DFT.

Results
The energy relative to the elements, uncorrected comes out at -688 meV/atom. The value obtained for the energy relative to the lowest polymorph listed for this composition is 1.6 kJ per mole of atoms.

The structure in CIF format:
```
data_CaLaCdInNiS
_chemical_formula_sum 'Ca1 La1 Cd1 In1 Ni1 S1'
_cell_length_a 4.248
_cell_length_b 5.357
_cell_length_c 7.204
_cell_angle_alpha 88.41
_cell_angle_beta 90.00
_cell_angle_gamma 66.69
_space_group_name_H-M_alt 'P 1'
_space_group_IT_number 1
_space_group_name_Hall 'P 1'
loop_
_atom_site_label
_atom_site_type_symbol
_atom_site_fract_x
_atom_site_fract_y
_atom_site_fract_z
_atom_site_occupancy
Ca1 Ca 0.000 0.000 0.000 1
La1 La 0.283 0.433 0.336 1
Cd1 Cd 0.703 0.594 0.675 1
In1 In 0.999 0.002 0.548 1
Ni1 Ni 0.562 0.879 0.320 1
S1 S 0.698 0.602 0.068 1
```

***

(6)
Computed, not measured: crystalline CaLaCdInNiS at its relaxed geometry at the GGA-PBE level of DFT.

Results
The energy relative to the elements, uncorrected comes out at -689 meV/atom. The value obtained for the energy relative to the lowest polymorph listed for this composition is 1.5 kJ per mole of atoms.

The structure in CIF format:
```
data_CaLaCdInNiS
_chemical_formula_sum 'Ca1 La1 Cd1 In1 Ni1 S1'
_cell_length_a 5.048
_cell_length_b 4.272
_cell_length_c 7.655
_cell_angle_alpha 90.00
_cell_angle_beta 99.00
_cell_angle_gamma 90.00
_space_group_name_H-M_alt 'P 1 m 1'
_space_group_IT_number 6
_space_group_name_Hall 'P -2y'
loop_
_atom_site_label
_atom_site_type_symbol
_atom_site_fract_x
_atom_site_fract_y
_atom_site_fract_z
_atom_site_occupancy
Ca1 Ca 0.000 0.000 0.000 1
La1 La 0.416 0.500 0.606 1
Cd1 Cd 0.507 0.500 0.172 1
In1 In 0.875 0.000 0.406 1
Ni1 Ni 0.362 0.000 0.360 1
S1 S 0.957 0.500 0.771 1
```

***

(7)
Computed, not measured: crystalline CaLaCdInNiS at its relaxed geometry at the GGA-PBE level of DFT.

Results
The energy relative to the elements, uncorrected comes out at -705 meV/atom. The value obtained for the energy relative to the lowest polymorph listed for this composition is 0.0 kJ per mole of atoms.

The structure in CIF format:
```
data_CaLaCdInNiS
_chemical_formula_sum 'Ca2 La2 Cd2 In2 Ni2 S2'
_cell_length_a 3.857
_cell_length_b 3.867
_cell_length_c 19.176
_cell_angle_alpha 90.00
_cell_angle_beta 90.00
_cell_angle_gamma 90.00
_space_group_name_H-M_alt 'A m m 2'
_space_group_IT_number 38
_space_group_name_Hall 'A 2 -2'
loop_
_atom_site_label
_atom_site_type_symbol
_atom_site_fract_x
_atom_site_fract_y
_atom_site_fract_z
_atom_site_occupancy
Ca1 Ca 0.000 0.000 0.000 1
La1 La 0.500 0.000 0.817 1
Cd1 Cd 0.500 0.000 0.621 1
In1 In 0.000 0.000 0.206 1
Ni1 Ni 0.000 0.000 0.369 1
S1 S 0.500 0.000 0.435 1
```

***

(8)
Computed, not measured: crystalline Li2CaCd2In2 at its relaxed geometry at the GGA-PBE level of DFT.

Results
Its formation energy is -0.260 eV per atom.

The structure in CIF format:
```
data_Li2CaCd2In2
_chemical_formula_sum 'Li6 Ca3 Cd6 In6'
_cell_length_a 4.9460
_cell_length_b 4.9460
_cell_length_c 22.8461
_cell_angle_alpha 90.00
_cell_angle_beta 90.00
_cell_angle_gamma 120.00
_space_group_name_H-M_alt 'R -3 m'
_space_group_IT_number 166
_space_group_name_Hall '-R 3 2"'
loop_
_atom_site_label
_atom_site_type_symbol
_atom_site_fract_x
_atom_site_fract_y
_atom_site_fract_z
_atom_site_occupancy
Li1 Li 0.0000 0.0000 0.1400 1
Ca1 Ca 0.0000 0.0000 0.0000 1
Cd1 Cd 0.0000 0.0000 0.4302 1
In1 In 0.0000 0.0000 0.2659 1
```

***

(9)
Computed, not measured: crystalline LiCaCd4In2 at its relaxed geometry at the GGA-PBE level of DFT.

Results
Its formation energy is -0.197 eV per atom.

The structure in CIF format:
```
data_LiCaCd4In2
_chemical_formula_sum 'Li3 Ca3 Cd12 In6'
_cell_length_a 5.0625
_cell_length_b 5.0625
_cell_length_c 25.3597
_cell_angle_alpha 90.00
_cell_angle_beta 90.00
_cell_angle_gamma 120.00
_space_group_name_H-M_alt 'R -3 m'
_space_group_IT_number 166
_space_group_name_Hall '-R 3 2"'
loop_
_atom_site_label
_atom_site_type_symbol
_atom_site_fract_x
_atom_site_fract_y
_atom_site_fract_z
_atom_site_occupancy
Li1 Li 0.0000 0.0000 0.0000 1
Ca1 Ca 0.0000 0.0000 0.5000 1
Cd1 Cd 0.0000 0.0000 0.1148 1
Cd2 Cd 0.0000 0.0000 0.3675 1
In1 In 0.0000 0.0000 0.2466 1
```

***

(10)
Computed, not measured: crystalline Li4CaCdIn2 at its relaxed geometry at the GGA-PBE level of DFT.

Results
Its formation energy is -0.252 eV per atom.

The structure in CIF format:
```
data_Li4CaCdIn2
_chemical_formula_sum 'Li12 Ca3 Cd3 In6'
_cell_length_a 4.8599
_cell_length_b 4.8599
_cell_length_c 24.4035
_cell_angle_alpha 90.00
_cell_angle_beta 90.00
_cell_angle_gamma 120.00
_space_group_name_H-M_alt 'R -3 m'
_space_group_IT_number 166
_space_group_name_Hall '-R 3 2"'
loop_
_atom_site_label
_atom_site_type_symbol
_atom_site_fract_x
_atom_site_fract_y
_atom_site_fract_z
_atom_site_occupancy
Li1 Li 0.0000 0.0000 0.1121 1
Li2 Li 0.0000 0.0000 0.3677 1
Ca1 Ca 0.0000 0.0000 0.5000 1
Cd1 Cd 0.0000 0.0000 0.0000 1
In1 In 0.0000 0.0000 0.2489 1
```

***

Number 1: uncorrected energy -3.630 eV per atom. Number 2: uncorrected energy -2.046 eV per atom. Number 3: uncorrected energy -2.689 eV per atom. Number 4: uncorrected energy -3.063 eV per atom. Number 5: uncorrected energy -4.103 eV per atom. Number 6: uncorrected energy -4.104 eV per atom. Number 7: uncorrected energy -4.120 eV per atom. Number 8: uncorrected energy -2.136 eV per atom. Number 9: uncorrected energy -1.829 eV per atom. Number 10: uncorrected energy -2.258 eV per atom.